! PBE-GGA KPt, optimized geometry; values from VASP
&SYSTEM
  ibrav = 0, nat = 4, ntyp = 2
/
ATOMIC_SPECIES
K 39.10 K.upf
Pt 195.08 Pt.upf
CELL_PARAMETERS angstrom
6.3539 0.0127 -0.0093
4.0528 6.1954 0.0005
-4.6818 -5.1375 2.5487
ATOMIC_POSITIONS crystal
K 0.9342 0.9731 0.9611
K 0.1491 0.7769 0.3722
Pt 0.5290 0.5447 0.9842
Pt 0.5544 0.2053 0.3491
! - Formation energy: 0.05 eV per atom
! - SG: C2/m

! PBE-GGA NaTl2GeBr6, optimized geometry; values from VASP
&SYSTEM
  ibrav = 0, nat = 20, ntyp = 4
/
ATOMIC_SPECIES
Na 22.99 Na.upf
Tl 204.38 Tl.upf
Ge 72.64 Ge.upf
Br 79.90 Br.upf
CELL_PARAMETERS angstrom
-0.3080 -7.1521 -2.3217
7.6194 -1.0199 2.1310
-3.1952 -3.0198 9.9789
ATOMIC_POSITIONS crystal
Na 0.5000 0.0000 0.5000
Na 0.0000 0.5000 0.0000
Tl 0.0266 0.9192 0.2533
Tl 0.5266 0.5808 0.7533
Tl 0.9734 0.0808 0.7467
Tl 0.4734 0.4192 0.2467
Ge 0.5000 0.0000 0.0000
Ge 0.0000 0.5000 0.5000
Br 0.3218 0.7150 0.0425
Br 0.8218 0.7850 0.5425
Br 0.6782 0.2850 0.9575
Br 0.1782 0.2150 0.4575
Br 0.2918 0.6815 0.4572
Br 0.7918 0.8185 0.9572
Br 0.7082 0.3185 0.5428
Br 0.2082 0.1815 0.0428
Br 0.9093 0.5141 0.2629
Br 0.4093 0.9859 0.7629
Br 0.0907 0.4859 0.7371
Br 0.5907 0.0141 0.2371
! - SG: P2_1/c
! - ΔE_f (raw): -0.813 eV per atom

! PBE-GGA TiRhPb2, optimized geometry; values from VASP
&SYSTEM
  ibrav = 0, nat = 8, ntyp = 3
/
ATOMIC_SPECIES
Pb 207.20 Pb.upf
Rh 102.91 Rh.upf
Ti 47.87 Ti.upf
CELL_PARAMETERS angstrom
-0.5351 1.4519 4.0284
3.8864 -1.5397 1.0711
5.7382 8.4551 0.0263
ATOMIC_POSITIONS crystal
Pb 0.6304 0.1250 0.2500
Pb 0.1196 0.6250 0.2500
Pb 0.3750 0.3696 0.7500
Pb 0.8750 0.8804 0.7500
Rh 0.0000 0.0000 0.0000
Rh 0.7500 0.2500 0.5000
Ti 0.5000 0.5000 0.0000
Ti 0.2500 0.7500 0.5000
! - Formation energy: 0.34 eV per atom
! - SG: I-42d
! - Energy relative to the lowest polymorph listed for this composition: 90 kJ/mol of formula units

What did the first record say?
! PBE-GGA KPt, optimized geometry; values from VASP
&SYSTEM
  ibrav = 0, nat = 4, ntyp = 2
/
ATOMIC_SPECIES
K 39.10 K.upf
Pt 195.08 Pt.upf
CELL_PARAMETERS angstrom
6.3539 0.0127 -0.0093
4.0528 6.1954 0.0005
-4.6818 -5.1375 2.5487
ATOMIC_POSITIONS crystal
K 0.9342 0.9731 0.9611
K 0.1491 0.7769 0.3722
Pt 0.5290 0.5447 0.9842
Pt 0.5544 0.2053 0.3491
! - Formation energy: 0.05 eV per atom
! - SG: C2/m

> Number 1 is which compound?

KPt